LaZrCl: relaxed, GGA-PBE.

Values from the calculation:
The volume comes out at 305.00 Å³/cell. For the distance to the lowest polymorph of the same formula, the calculation gives 388.0 meV per atom. The calculation puts the density of states at the Fermi level at 10.263 states/eV per cell. The energy relative to the elements, uncorrected comes out at -0.52 eV/atom.

Cell: 4.114 5.316 13.945 Å, 90.00 90.00 90.00°
Space group Fmm2 (No. 42)
Inequivalent atoms, fractional coordinates:
La  0.000  0.000  0.000 x4
Zr  0.000  0.000  0.318 x4
Cl  0.000  0.000  0.678 x4